Record 1
Computed, not measured: a geometry-optimized ScPBr2 structure at the PBE level of DFT.

Cell and atoms, written as CIF:
```
data_ScPBr2
_space_group_name_H-M_alt 'I -4 m 2'
_space_group_IT_number 119
_space_group_name_Hall 'I -4 -2'
_cell_length_a 4.116
_cell_length_b 4.116
_cell_length_c 10.142
_cell_angle_alpha 90.00
_cell_angle_beta 90.00
_cell_angle_gamma 90.00
loop_
_atom_site_label
_atom_site_type_symbol
_atom_site_fract_x
_atom_site_fract_y
_atom_site_fract_z
_atom_site_occupancy
Sc1 Sc 0.000 0.000 0.000 1
P1 P 0.000 0.500 0.250 1
Br1 Br 0.000 0.000 0.500 1
Br2 Br 0.000 0.500 0.750 1
```

## Properties
- energy relative to the elements, uncorrected (eV/atom) = -0.202

***

Record 2
Computed, not measured: a geometry-optimized LaPmPdRu structure at the PBE level of DFT.

Cell and atoms, written as CIF:
```
data_LaPmPdRu
_space_group_name_H-M_alt 'F -4 3 m'
_space_group_IT_number 216
_space_group_name_Hall 'F -4 2 3'
_cell_length_a 7.161
_cell_length_b 7.161
_cell_length_c 7.161
_cell_angle_alpha 90.00
_cell_angle_beta 90.00
_cell_angle_gamma 90.00
loop_
_atom_site_label
_atom_site_type_symbol
_atom_site_fract_x
_atom_site_fract_y
_atom_site_fract_z
_atom_site_occupancy
La1 La 0.000 0.000 0.000 1
Pm1 Pm 0.000 0.000 0.500 1
Pd1 Pd 0.250 0.250 0.250 1
Ru1 Ru 0.250 0.250 0.750 1
```

## Properties
- formation enthalpy at 0 K (meV/atom) = -451

***

Record 3
Computed, not measured: a geometry-optimized ThTlFe structure at the PBE level of DFT.

Cell and atoms, written as CIF:
```
data_ThTlFe
_space_group_name_H-M_alt 'P 1 21/m 1'
_space_group_IT_number 11
_cell_length_a 3.906
_cell_length_b 4.212
_cell_length_c 8.843
_cell_angle_alpha 90.00
_cell_angle_beta 102.50
_cell_angle_gamma 90.00
loop_
_space_group_symop_operation_xyz
'x,y,z'
'-x,-y,-z'
'-x,y+1/2,-z'
'x,-y+1/2,z'
loop_
_atom_site_label
_atom_site_type_symbol
_atom_site_fract_x
_atom_site_fract_y
_atom_site_fract_z
_atom_site_occupancy
Th1 Th 0.087 0.250 0.175 1
Tl1 Tl 0.296 0.250 0.591 1
Fe1 Fe 0.463 0.250 0.926 1
```

## Properties
- formation enthalpy at 0 K (meV/atom) = -89